Entry 1:
Computed, not measured: a geometry-optimized Ce2PrEr3Tm6 structure at the GGA-PBE level of DFT.

Summary:
V (Å³ per cell): 367.33
DFT formation energy (eV/atom): 0.054

Cell lengths 6.088, 6.088, 11.620 Å; angles 95.01, 95.01, 119.98 degrees
Last column: magnetic moment on the atom in μB.
Fractional coordinates of all 12 atoms:
Er 0.500 0.500 0.500  0.03
Er 0.166 0.834 0.500  0.03
Er 0.834 0.166 0.500  0.03
Tm 0.252 0.252 0.749  -0.01
Tm 0.579 0.915 0.749  -0.01
Tm 0.915 0.579 0.749  -0.01
Tm 0.085 0.421 0.251  -0.01
Tm 0.421 0.085 0.251  -0.01
Tm 0.748 0.748 0.251  -0.01
Pr 0.000 0.000 0.000  0.00
Ce 0.667 0.333 0.000  -0.71
Ce 0.333 0.667 0.000  -0.71

Entry 2:
Computed, not measured: a geometry-optimized Be2WSe structure at the GGA-PBE level of DFT.

Summary:
Formation energy from raw total energies (eV/atom): 0.3932
V (Å³ per cell): 54.72

Cell lengths 4.635, 4.635, 4.186 Å; angles 87.00, 87.00, 37.55 degrees
Fractional coordinates of all 4 atoms:
Be 0.746 0.746 0.774
Be 0.978 0.978 0.031
W 0.249 0.249 0.251
Se 0.526 0.526 0.445

Question: Number 1 is which compound?
Answer: Ce2PrEr3Tm6